A geometry-optimized Dy3Ho2TmCoTe2 structure, computed with PBE-GGA.

Lattice parameters (Å, degrees): 3.9077 8.3777 8.3777 120.43 90.00 90.00
With the nearest neighbours (Å) after each atom.
Atoms (fractional coordinates):
Co (0.0000, 0.0065, 0.0065)  6 Dy 2.77-2.82
Dy (0.5000, 0.9988, 0.2363)  2 Co 2.77
Dy (0.5000, 0.7628, 0.7628)  2 Co 2.82
Dy (0.5000, 0.2363, 0.9988)  2 Co 2.77
Ho (0.0000, 0.6008, 0.0002)  4 Te 3.21-3.22, 1 Co 3.37, 4 Dy 3.49-3.51
Ho (0.0000, 0.0002, 0.6008)  4 Te 3.21-3.22, 1 Co 3.37, 4 Dy 3.49-3.51
Te (0.5000, 0.6661, 0.3334)  4 Ho 3.21-3.22, 2 Tm 3.23, 3 Dy 3.26-3.28
Te (0.5000, 0.3334, 0.6661)  4 Ho 3.21-3.22, 2 Tm 3.23, 3 Dy 3.26-3.28
Tm (0.0000, 0.3951, 0.3951)  4 Te 3.23, 1 Co 3.23, 4 Dy 3.48

Computed properties:
The value obtained for the mass density is 9.13 g/cm3. The size of the total moment is 0.00 μB per atom. The space-group type is Amm2 (38). The calculation puts the calculated total energy at -5.19 eV/atom.

=====

A geometry-optimized Dy2Ho3TmCoTe2 structure, computed with PBE-GGA.

Lattice parameters (Å, degrees): 3.2363 9.5263 9.5263 120.68 90.00 90.00
With the nearest neighbours (Å) after each atom.
Atoms (fractional coordinates):
Co (0.0000, 0.9939, 0.9939)  3 Ho 3.03-3.08, 1 Tm 3.05, 2 Dy 3.21, 2 Co 3.24
Dy (0.0000, 0.3345, 0.0005)  3 Ho 3.09-3.29, 2 Te 3.14-3.17, 1 Co 3.21, 2 Dy 3.24
Dy (0.0000, 0.0005, 0.3345)  3 Ho 3.09-3.29, 2 Te 3.14-3.17, 1 Co 3.21, 2 Dy 3.24
Ho (0.0000, 0.6792, 0.0000)  1 Co 3.03, 2 Dy 3.09-3.29, 1 Tm 3.10, 2 Te 3.19-3.24, 2 Ho 3.24
Ho (0.0000, 0.3201, 0.3201)  1 Co 3.08, 2 Dy 3.12, 2 Ho 3.24, 2 Te 3.24, 1 Tm 3.30
Ho (0.0000, 0.0000, 0.6792)  1 Co 3.03, 2 Dy 3.09-3.29, 1 Tm 3.10, 2 Te 3.19-3.24, 2 Ho 3.24
Te (0.0000, 0.6674, 0.3344)  2 Dy 3.14-3.17, 1 Tm 3.18, 3 Ho 3.19-3.24, 2 Te 3.24
Te (0.0000, 0.3344, 0.6674)  2 Dy 3.14-3.17, 1 Tm 3.18, 3 Ho 3.19-3.24, 2 Te 3.24
Tm (0.0000, 0.6699, 0.6699)  1 Co 3.05, 3 Ho 3.10-3.30, 2 Te 3.18, 2 Tm 3.24

Computed properties:
The value obtained for the mass density is 8.57 g/cm3. The size of the total moment is 0.24 μB per atom. The space-group type is Amm2 (38). The calculation puts the calculated total energy at -4.26 eV/atom.

=====

A geometry-optimized Dy3HoTm2CoTe2 structure, computed with PBE-GGA.

Lattice parameters (Å, degrees): 3.8850 8.3041 8.3041 119.66 90.00 90.00
With the nearest neighbours (Å) after each atom.
Atoms (fractional coordinates):
Co (0.0000, 0.0053, 0.0053)  6 Dy 2.74-2.78
Dy (0.5000, 0.2369, 0.2369)  2 Co 2.74
Dy (0.5000, 0.9995, 0.7622)  2 Co 2.78
Dy (0.5000, 0.7622, 0.9995)  2 Co 2.78
Ho (0.0000, 0.6010, 0.6010)  4 Te 3.20, 1 Co 3.37, 4 Dy 3.48
Te (0.5000, 0.6668, 0.3327)  2 Ho 3.20, 4 Tm 3.21, 3 Dy 3.23-3.26
Te (0.5000, 0.3327, 0.6668)  2 Ho 3.20, 4 Tm 3.21, 3 Dy 3.23-3.26
Tm (0.0000, 0.3954, 0.0003)  4 Te 3.21, 1 Co 3.26, 4 Dy 3.45-3.47
Tm (0.0000, 0.0003, 0.3954)  4 Te 3.21, 1 Co 3.26, 4 Dy 3.45-3.47

Computed properties:
The value obtained for the mass density is 9.30 g/cm3. The size of the total moment is 0.01 μB per atom. The space-group type is Amm2 (38). The calculation puts the calculated total energy at -5.17 eV/atom.